Entry 1:
A plane-wave DFT calculation with PBEsol was carried out for BeNiN2 after structural relaxation.

POSCAR file:
```
BeNiN2
1.0
1.4459 0.8348 4.9853
-1.4459 0.8348 4.9853
0.0000 -1.6696 4.9853
Be Ni N
1 1 2
direct
0.0000 0.0000 0.0000 Be
0.5000 0.5000 0.5000 Ni
0.1029 0.1029 0.1029 N
0.8971 0.8971 0.8971 N
```

E_form (uncorrected) (eV per atom): 0.156
DFT total energy (eV per atom): -6.647
Symmetry: R-3m (166)
Size of the total moment (μB/atom): 0.000
Crystal system: trigonal


Entry 2:
A plane-wave DFT calculation with PBEsol was carried out for Zn2HgPb after structural relaxation.

POSCAR file:
```
Zn2HgPb
1.0
0.0000 3.4614 3.4614
3.4614 0.0000 3.4614
3.4614 3.4614 0.0000
Zn Hg Pb
2 1 1
direct
0.2500 0.2500 0.2500 Zn
0.7500 0.7500 0.7500 Zn
0.0000 0.0000 0.0000 Hg
0.5000 0.5000 0.5000 Pb
```

Formation energy from the elements (meV per atom): 206
DFT total energy (eV per atom): -1.726
Symmetry: Fm-3m (225)
Size of the total moment (μB/atom): 0.000
Crystal system: cubic


Entry 3:
A plane-wave DFT calculation with PBEsol was carried out for Ni2PtRh after structural relaxation.

POSCAR file:
```
Ni2PtRh
1.0
2.6531 0.0000 0.0000
0.0000 3.5166 0.0000
0.0000 0.0000 5.3014
Ni Pt Rh
2 1 1
direct
0.0000 0.0000 0.2428 Ni
0.0000 0.0000 0.7572 Ni
0.5000 0.5000 0.5000 Pt
0.5000 0.5000 0.0000 Rh
```

Formation energy from the elements (meV per atom): -13
DFT total energy (eV per atom): -6.868
Symmetry: Pmmm (47)
Size of the total moment (μB/atom): 0.001
Crystal system: orthorhombic


Entry 4:
A plane-wave DFT calculation with PBEsol was carried out for YBi2Te2 after structural relaxation.

POSCAR file:
```
YBi2Te2
1.0
8.0518 0.0000 0.0000
0.0000 8.0518 0.0000
0.0000 0.0000 4.6800
Y Bi Te
2 4 4
direct
0.0000 0.0000 0.0000 Y
0.5000 0.5000 0.0000 Y
0.1596 0.3404 0.5000 Bi
0.3404 0.8404 0.5000 Bi
0.6596 0.1596 0.5000 Bi
0.8404 0.6596 0.5000 Bi
0.1608 0.6608 0.0000 Te
0.3392 0.1608 0.0000 Te
0.6608 0.8392 0.0000 Te
0.8392 0.3392 0.0000 Te
```

E_form (uncorrected) (eV per atom): -0.409
DFT total energy (eV per atom): -4.898
Symmetry: P4/mbm (127)
Size of the total moment (μB/atom): 0.000
Crystal system: tetragonal


Entry 5:
A plane-wave DFT calculation with PBEsol was carried out for LiCd2In after structural relaxation.

POSCAR file:
```
LiCd2In
1.0
3.1017 0.0000 0.0000
0.0000 4.3024 0.0000
0.0000 0.0000 6.0969
Li Cd In
1 2 1
direct
0.0000 0.0000 0.0000 Li
0.0000 0.0000 0.4887 Cd
0.5000 0.5000 0.2388 Cd
0.5000 0.5000 0.7568 In
```

Formation energy from the elements (meV per atom): -147
DFT total energy (eV per atom): -1.983
Symmetry: Pmm2 (25)
Size of the total moment (μB/atom): 0.000
Crystal system: orthorhombic


Entry 6:
A plane-wave DFT calculation with PBEsol was carried out for AgIO2F after structural relaxation.

POSCAR file:
```
AgIO2F
1.0
4.3898 0.0000 0.0000
0.0000 4.3898 0.0000
0.0000 0.0000 4.1738
Ag I O F
1 1 2 1
direct
0.0000 0.0000 0.0000 Ag
0.5000 0.5000 0.0000 I
0.0000 0.5000 0.5000 O
0.5000 0.0000 0.5000 O
0.5000 0.5000 0.5000 F
```

E_form (uncorrected) (eV per atom): 0.826
DFT total energy (eV per atom): -2.675
Symmetry: P4/mmm (123)
Size of the total moment (μB/atom): 0.610
Crystal system: tetragonal